First-principles (PBE) data for crystalline Pr6MgCd at its relaxed geometry, as listed in the Alexandria database.

a = 6.4112 Å, b = 6.4173 Å, c = 6.4294 Å
α = 91.63°, β = 91.39°, γ = 91.94°
Sites, in units of the cell vectors:
Pr (0.0284, 0.2508, 0.0345)
Pr (0.2491, 0.9676, 0.4660)
Pr (0.4664, 0.4699, 0.7494)
Pr (0.5336, 0.5301, 0.2506)
Pr (0.7509, 0.0324, 0.5340)
Pr (0.9716, 0.7492, 0.9655)
Mg (0.0000, 0.5000, 0.5000)
Cd (0.5000, 0.0000, 0.0000)

Summary:
* space group: P-1, No. 2
* calculated total energy: -0.143 Ha/atom
* V: 33.02 Å³/atom
* ΔH_f (0 K): -3 meV/atom
* crystal system: triclinic



First-principles (PBE) data for crystalline PrMg2Cd9 at its relaxed geometry, as listed in the Alexandria database.

a = 9.9703 Å, b = 9.9703 Å, c = 3.2776 Å
α = 90.00°, β = 90.00°, γ = 120.00°
Sites, in units of the cell vectors:
Pr (0.0000, 0.0000, 0.0000)
Mg (0.3333, 0.6667, 0.0000)
Mg (0.6667, 0.3333, 0.0000)
Cd (0.0000, 0.5000, 0.0000)
Cd (0.1775, 0.3549, 0.5000)
Cd (0.1775, 0.8225, 0.5000)
Cd (0.3549, 0.1775, 0.5000)
Cd (0.5000, 0.0000, 0.0000)
Cd (0.5000, 0.5000, 0.0000)
Cd (0.6451, 0.8225, 0.5000)
Cd (0.8225, 0.1775, 0.5000)
Cd (0.8225, 0.6451, 0.5000)

Summary:
* space group: P6/mmm, No. 191
* calculated total energy: -0.053 Ha/atom
* V: 23.51 Å³/atom
* ΔH_f (0 K): -93 meV/atom
* crystal system: hexagonal



First-principles (PBE) data for crystalline Pr3Mg2Cd9 at its relaxed geometry, as listed in the Alexandria database.

a = 9.0684 Å, b = 9.0684 Å, c = 9.0684 Å
α = 148.36°, β = 114.31°, γ = 74.75°
Sites, in units of the cell vectors:
Pr (0.0000, 0.0000, 0.0000)
Pr (0.2874, 0.2874, 0.0000)
Pr (0.7126, 0.7126, 0.0000)
Mg (0.3261, 0.5000, 0.8261)
Mg (0.6739, 0.5000, 0.1739)
Cd (0.0142, 0.6554, 0.3589)
Cd (0.1454, 0.8601, 0.2853)
Cd (0.2965, 0.6554, 0.6411)
Cd (0.4252, 0.1399, 0.2853)
Cd (0.5000, 0.0000, 0.5000)
Cd (0.5748, 0.8601, 0.7147)
Cd (0.7035, 0.3446, 0.3589)
Cd (0.8546, 0.1399, 0.7147)
Cd (0.9858, 0.3446, 0.6411)

Summary:
* space group: Immm, No. 71
* calculated total energy: -0.078 Ha/atom
* V: 25.03 Å³/atom
* ΔH_f (0 K): -279 meV/atom
* crystal system: orthorhombic



Question: The highest V belongs to which entry?
Answer: Pr6MgCd